Density functional theory data (GGA-PBE) for an optimized crystal structure of CdSeS2N.

Properties
E_form (uncorrected) ... 0.8637 eV per atom
Energy above the most stable polymorph in this dataset ... 0 meV per atom
D(E_F) ... 0.52 states/eV per atom
Symmetry ... P4/mmm

Cell: 4.976 4.976 3.734 Å, 90.00 90.00 90.00°
Positions (direct):
Cd1 0.000 0.000 0.000
Se1 0.500 0.500 0.500
S1 0.000 0.500 0.500
S2 0.500 0.000 0.500
N1 0.500 0.500 0.000

Density functional theory data (GGA-PBE) for an optimized crystal structure of CdSeSN2.

Properties
E_form (uncorrected) ... 1.2838 eV per atom
Energy above the most stable polymorph in this dataset ... 0 meV per atom
D(E_F) ... 0.43 states/eV per atom
Symmetry ... P4/mmm

Cell: 3.746 3.746 6.253 Å, 90.00 90.00 90.00°
Positions (direct):
Cd1 0.000 0.000 0.000
Se1 0.500 0.500 0.500
S1 0.500 0.500 0.000
N1 0.000 0.500 0.500
N2 0.500 0.000 0.500

Density functional theory data (GGA-PBE) for an optimized crystal structure of CdSiS2N.

Properties
E_form (uncorrected) ... 0.1254 eV per atom
Energy above the most stable polymorph in this dataset ... 0 meV per atom
D(E_F) ... 0.46 states/eV per atom
Symmetry ... P4/mmm

Cell: 4.918 4.918 3.316 Å, 90.00 90.00 90.00°
Positions (direct):
Cd1 0.000 0.000 0.000
Si1 0.500 0.500 0.500
S1 0.000 0.500 0.500
S2 0.500 0.000 0.500
N1 0.500 0.500 0.000

Density functional theory data (GGA-PBE) for an optimized crystal structure of CdSiS2N.

Properties
E_form (uncorrected) ... 1.3203 eV per atom
Energy above the most stable polymorph in this dataset ... 1195 meV per atom
D(E_F) ... 0.18 states/eV per atom
Symmetry ... P4/mmm

Cell: 5.065 5.065 4.141 Å, 90.00 90.00 90.00°
Positions (direct):
Cd1 0.000 0.000 0.000
Si1 0.500 0.500 0.500
S1 0.000 0.500 0.000
S2 0.500 0.000 0.000
N1 0.000 0.000 0.500